# Zr3Fe3C

A geometry-optimized Zr3Fe3C structure (PBE, OQMD via LeMat-Bulk).

The total energy comes out at -994.07 eV per cell. The crystal system is cubic.

It has space group Fd-3m (No. 227, origin choice 2), with a = 11.947 Å, b = 11.947 Å, c = 11.947 Å, α = 90.00°, β = 90.00° and γ = 90.00°. Symmetry generates all atoms from Zr at (0.073, 0.375, 0.375), Fe at (0.000, 0.000, 0.500), Fe at (0.050, 0.050, 0.700) and C at (0.000, 0.000, 0.000).

---

# GePdSO

A geometry-optimized GePdSO structure (PBE, OQMD via LeMat-Bulk).

The crystal system is tetragonal. The energy above the most stable polymorph in this dataset is 1.97 eV/f.u.

It has space group P4/nmm (No. 129, origin choice 2), with a = 3.810 Å, b = 3.810 Å, c = 8.475 Å, α = 90.00°, β = 90.00° and γ = 90.00°. Symmetry generates all atoms from Ge at (0.250, 0.750, 0.000), Pd at (0.250, 0.250, 0.234), S at (0.250, 0.250, 0.685) and O at (0.250, 0.250, 0.507).

---

# ErBeNO

A geometry-optimized ErBeNO structure (PBE, OQMD via LeMat-Bulk).

The crystal system is orthorhombic. The energy above the most stable polymorph in this dataset is 0.78 eV/f.u.

It has space group Pca2_1 (No. 29), with a = 5.407 Å, b = 6.257 Å, c = 4.870 Å, α = 90.00°, β = 90.00° and γ = 90.00°. Symmetry generates all atoms from Er at (0.056, 0.217, 0.000), Be at (0.082, 0.604, 0.017), N at (0.155, 0.522, 0.697) and O at (0.029, 0.138, 0.510).

---

# Cu7Ag3

A geometry-optimized Cu7Ag3 structure (PBE, OQMD via LeMat-Bulk).

The crystal system is monoclinic. The formation energy is 86 meV/atom. The energy above the most stable polymorph in this dataset is 0.41 eV/f.u.

It has space group Pm (No. 6), with a = 6.551 Å, b = 2.728 Å, c = 7.960 Å, α = 90.00°, β = 104.15° and γ = 90.00°. Symmetry generates all atoms from Cu at (0.000, 0.000, 0.000), Cu at (0.087, 0.500, 0.288), Cu at (0.190, 0.000, 0.565), Cu at (0.277, 0.500, 0.899), Cu at (0.370, 0.000, 0.188), Cu at (0.481, 0.500, 0.463), Cu at (0.788, 0.000, 0.390), Ag at (0.564, 0.000, 0.772), Ag at (0.685, 0.500, 0.095) and Ag at (0.903, 0.500, 0.687).

---

# HfSc2Sb

A geometry-optimized HfSc2Sb structure (PBE, OQMD via LeMat-Bulk).

The total energy comes out at -109.14 eV per cell. The crystal system is cubic.

It has space group F-43m (No. 216), with a = 7.009 Å, b = 7.009 Å, c = 7.009 Å, α = 90.00°, β = 90.00° and γ = 90.00°. Symmetry generates all atoms from Hf at (0.000, 0.000, 0.000), Sc at (0.000, 0.000, 0.500), Sc at (0.250, 0.250, 0.250) and Sb at (0.250, 0.250, 0.750).

---

# NdMg2

A geometry-optimized NdMg2 structure (PBE, OQMD via LeMat-Bulk).

The total energy comes out at -11.15 eV per cell. The crystal system is tetragonal.

It has space group P4_2/mnm (No. 136), with a = 6.273 Å, b = 6.273 Å, c = 5.920 Å, α = 90.00°, β = 90.00° and γ = 90.00°. Symmetry generates all atoms from Nd at (0.000, 0.000, 0.000) and Mg at (0.158, 0.158, 0.500).

---

# PaCoMo

A geometry-optimized PaCoMo structure (PBE, OQMD via LeMat-Bulk).

The crystal system is cubic. The formation energy is 363 meV/atom. The energy above the most stable polymorph in this dataset is 0.00 eV/f.u.

It has space group F-43m (No. 216), with a = 6.111 Å, b = 6.111 Å, c = 6.111 Å, α = 90.00°, β = 90.00° and γ = 90.00°. Symmetry generates all atoms from Pa at (0.000, 0.000, 0.000), Co at (0.250, 0.250, 0.750) and Mo at (0.000, 0.000, 0.500).

---

# Gd2DyGa3PtAu2

A geometry-optimized Gd2DyGa3PtAu2 structure (PBE, OQMD via LeMat-Bulk).

The total energy comes out at -87.16 eV per cell. The crystal system is orthorhombic.

It has space group Amm2 (No. 38), with a = 3.888 Å, b = 12.936 Å, c = 7.474 Å, α = 90.00°, β = 90.00° and γ = 90.00°. Symmetry generates all atoms from Gd at (0.000, 0.202, 0.000), Dy at (0.000, 0.000, 0.604), Ga at (0.500, 0.000, 0.954), Ga at (0.500, 0.124, 0.326), Pt at (0.000, 0.000, 0.204) and Au at (0.500, 0.165, 0.701).

---

# CsErHgO3

A geometry-optimized CsErHgO3 structure (PBE, OQMD via LeMat-Bulk).

The total energy comes out at -127.65 eV per cell. The crystal system is orthorhombic.

It has space group Cmcm (No. 63), with a = 3.623 Å, b = 14.977 Å, c = 8.993 Å, α = 90.00°, β = 90.00° and γ = 90.00°. Symmetry generates all atoms from Cs at (0.000, 0.186, 0.250), Er at (0.000, 0.500, 0.000), Hg at (0.000, 0.099, 0.750), O at (0.000, 0.097, 0.522) and O at (0.000, 0.475, 0.750).

---

# Ta2NiGe

A geometry-optimized Ta2NiGe structure (PBE, OQMD via LeMat-Bulk).

The total energy comes out at -131.74 eV per cell. The crystal system is cubic.

It has space group F-43m (No. 216), with a = 6.333 Å, b = 6.333 Å, c = 6.333 Å, α = 90.00°, β = 90.00° and γ = 90.00°. Symmetry generates all atoms from Ta at (0.000, 0.000, 0.000), Ta at (0.250, 0.250, 0.250), Ni at (0.250, 0.250, 0.750) and Ge at (0.000, 0.000, 0.500).